# 1
The following is a PBE calculation of an optimized crystal structure of CaTaAs2Rh, from Alexandria.

Cell lengths 4.903, 5.621, 4.903 Å; angles 90.00, 90.00, 90.00 degrees
Each line ends with the local moment (μB).
Atoms (fractional coordinates):
Ta 0.000 0.000 0.000  0.08
Ca 0.000 0.500 0.000  0.01
As 0.000 0.000 0.500  -0.02
Rh 0.500 0.500 0.500  0.53
As 0.500 0.000 0.000  -0.02

Values from the calculation:
The calculation puts the calculated formation energy at 0.80 eV per atom. As for the space group: P4/mmm, No. 123. As for the total energy: -26.502 eV per cell.



# 2
The following is a PBE calculation of an optimized crystal structure of Ca2TbAs3Rh4, from Alexandria.

Cell lengths 4.144, 4.144, 11.273 Å; angles 90.00, 90.00, 90.00 degrees
Atoms (fractional coordinates):
Rh 0.000 0.000 0.000
Rh 0.500 0.000 0.660
As 0.000 0.500 0.127
Rh 0.500 0.500 0.000
Ca 0.000 0.500 0.772
As 0.000 0.000 0.500
Tb 0.500 0.500 0.500
As 0.500 0.000 0.873
Ca 0.500 0.000 0.228
Rh 0.000 0.500 0.340

Values from the calculation:
The calculation puts the calculated formation energy at -0.85 eV per atom. As for the space group: P-4m2, No. 115. As for the total energy: -60.525 eV per cell.



# 3
The following is a PBE calculation of an optimized crystal structure of CaTbAs2Rh2, from Alexandria.

Cell lengths 4.200, 4.200, 8.141 Å; angles 90.00, 90.00, 120.00 degrees
Atoms (fractional coordinates):
Rh 0.667 0.333 0.261
Tb 0.000 0.000 0.500
As 0.667 0.333 0.745
Rh 0.333 0.667 0.739
As 0.333 0.667 0.255
Ca 0.000 0.000 0.000

Values from the calculation:
The calculation puts the calculated formation energy at -0.95 eV per atom. As for the space group: P-3m1, No. 164. As for the total energy: -36.353 eV per cell.



Among the records above, which one has the highest calculated formation energy?
CaTaAs2Rh



Which value of calculated formation energy does entry 2 give?
-0.85 eV per atom



Among the records above, which one has the highest calculated formation energy?
CaTaAs2Rh